No. 1
Below is a relaxed structure of KCoPCO7, with properties calculated at the PBE with a Hubbard U level.

Output
The value obtained for the calculated volume is 13.16 A^3/atom. Its relative energy among the computed polymorphs is 0.000 eV per atom. As for the mass density: 2.90 g/cm³.

abc: 4.963 6.056 9.767
angles: 90.00 99.43 90.00
Space group P2_1 (No. 4)
One atom of each set of equivalent atoms:
K 0.099 0.000 0.175
Co 0.276 0.995 0.653
P 0.309 0.495 0.561
C 0.459 0.995 0.892
O 0.101 0.495 0.427
O 0.196 0.995 0.841
O 0.279 0.302 0.664
O 0.279 0.688 0.664
O 0.398 0.995 0.475
O 0.399 0.495 0.212
O 0.440 0.495 0.983

No. 2
Below is a relaxed structure of K2CoPCO7, with properties calculated at the PBE with a Hubbard U level.

Output
For the raw total energy, the calculation gives -6.4767 eV per atom. The value obtained for the calculated volume is 15.47 A^3/atom. As for the mass density: 2.61 g/cm³.

abc: 5.571 6.895 9.670
angles: 90.00 91.25 90.00
Space group P2_1/m (No. 11)
One atom of each set of equivalent atoms:
K 0.249 0.023 0.264
Co 0.220 0.250 0.870
P 0.268 0.750 0.937
C 0.265 0.250 0.611
O 0.057 0.250 0.672
O 0.112 0.750 0.069
O 0.221 0.565 0.850
O 0.292 0.250 0.483
O 0.445 0.250 0.702
O 0.459 0.250 0.014

No. 3
Below is a relaxed structure of KCoPCO7, with properties calculated at the PBE with a Hubbard U level.

Output
The value obtained for the calculated volume is 14.58 A^3/atom. Its relative energy among the computed polymorphs is 0.004 eV per atom. As for the mass density: 2.62 g/cm³.

abc: 5.070 6.043 10.575
angles: 90.00 97.97 90.00
Space group P2_1 (No. 4)
One atom of each set of equivalent atoms:
K 0.199 0.000 0.213
Co 0.312 0.060 0.640
P 0.228 0.562 0.555
C 0.282 0.063 0.861
O 0.078 0.061 0.766
O 0.080 0.061 0.479
O 0.260 0.067 0.975
O 0.313 0.369 0.651
O 0.316 0.754 0.652
O 0.362 0.564 0.435
O 0.494 0.564 0.190